Record 1
The following is a DFT calculation (GGA-PBE) of an optimized crystal structure of Ac6Si3Ge.

Properties
Raw total energy in eV for the cell shown: -99.5

Cell and atoms, written as POSCAR:
```
Ac6Si3Ge
1.0
-0.270 -6.704 -0.073
8.364 -0.311 -2.411
3.350 -0.304 11.662
Ac Si Ge
12 6 2
Cartesian
2.789 -1.134 8.630 Ac
4.068 -1.138 4.070 Ac
3.235 -4.507 6.344 Ac
8.209 -2.811 2.834 Ac
4.527 -4.466 1.739 Ac
7.376 -6.180 5.108 Ac
6.917 -2.852 7.439 Ac
8.469 -6.267 8.997 Ac
4.373 -4.596 10.221 Ac
8.655 -6.184 0.549 Ac
2.975 -1.051 0.181 Ac
7.071 -2.722 -1.043 Ac
1.729 -2.876 2.588 Si
5.441 -6.460 7.757 Si
4.047 -3.507 -1.242 Si
6.003 -0.858 1.421 Si
1.675 -0.152 5.831 Si
9.715 -4.443 6.590 Si
0.000 0.000 0.000 Ge
5.722 -3.659 4.589 Ge
```

***

Record 2
The following is a DFT calculation (GGA-PBE) of an optimized crystal structure of LiAsSeBr2.

Properties
Raw total energy in eV for the cell shown: -12.6

Cell and atoms, written as POSCAR:
```
LiAsSeBr2
1.0
-1.032 -2.465 3.529
2.125 -3.448 -1.787
7.000 2.388 3.715
As Se Br Li
1 1 2 1
Cartesian
3.500 1.194 1.858 As
4.046 -1.762 2.729 Se
-0.516 -1.233 1.765 Br
1.062 -1.724 -0.893 Br
0.000 0.000 0.000 Li
```

***

Record 3
The following is a DFT calculation (GGA-PBE) of an optimized crystal structure of Cu3TeSe2.

Properties
Raw total energy in eV for the cell shown: -46.0

Cell and atoms, written as POSCAR:
```
Cu3TeSe2
1.0
-2.923 0.105 -6.242
2.841 -5.812 2.381
-5.657 0.226 3.936
Cu Se Te
6 4 2
Cartesian
-0.788 -5.006 1.061 Cu
-1.727 -1.322 1.787 Cu
-5.629 -0.107 2.149 Cu
-4.524 -3.810 1.781 Cu
-2.651 -2.942 -1.617 Cu
-6.383 -2.053 -1.110 Cu
-4.346 -1.332 -2.103 Se
-0.576 -2.449 -2.674 Se
1.337 -4.375 0.198 Se
-2.443 -3.323 0.732 Se
-2.464 -0.460 -5.528 Te
-0.510 -5.256 3.594 Te
```